#a
Density functional theory data (GGA-PBE) for crystalline Be5Mo at its relaxed geometry.

abc: 2.612 2.612 8.351
angles: 90.00 90.00 90.00
Fractional positions:
Be 0.500 0.500 0.356
Be 0.000 0.000 0.788
Be 0.500 0.500 0.644
Mo 0.500 0.500 0.000
Be 0.000 0.000 0.500
Be 0.000 0.000 0.212

=====

#b
Density functional theory data (GGA-PBE) for crystalline Be5Mo at its relaxed geometry.

abc: 4.312 4.312 4.312
angles: 60.00 60.00 60.00
Fractional positions:
Be 0.627 0.627 0.627
Mo 0.000 0.000 0.000
Be 0.627 0.119 0.627
Be 0.250 0.250 0.250
Be 0.627 0.627 0.119
Be 0.119 0.627 0.627

=====

The most stable of them is #b.

=====

#a
Density functional theory data (GGA-PBE) for crystalline Be5Mo at its relaxed geometry.

abc: 7.032 7.032 3.490
angles: 90.00 90.00 160.33
Fractional positions:
Mo 0.103 0.897 0.500
Be 0.788 0.212 0.500
Be 0.435 0.565 0.500
Be 0.336 0.664 0.000
Be 0.699 0.301 0.000
Be 0.973 0.027 0.000

=====

#b
Density functional theory data (GGA-PBE) for crystalline Be5Mo at its relaxed geometry.

abc: 4.658 4.658 5.385
angles: 72.98 72.98 31.21
Fractional positions:
Be 0.330 0.330 0.370
Be 0.692 0.692 0.181
Be 0.670 0.670 0.630
Be 0.308 0.308 0.819
Mo 0.000 0.000 0.000
Be 0.000 0.000 0.500

=====

#c
Density functional theory data (GGA-PBE) for crystalline Be5Mo at its relaxed geometry.

abc: 3.464 3.409 5.117
angles: 109.46 90.00 90.00
Fractional positions:
Be 0.000 0.686 0.373
Be 0.500 0.830 0.660
Be 0.500 0.170 0.340
Be 0.500 0.500 0.000
Be 0.000 0.314 0.627
Mo 0.000 0.000 0.000

=====

The most stable of them is #c.

=====

#a
Density functional theory data (GGA-PBE) for crystalline Be4Mo at its relaxed geometry.

abc: 4.239 4.239 4.239
angles: 90.00 90.00 90.00
Fractional positions:
Be 0.000 0.000 0.000
Be 0.500 0.500 0.000
Be 0.000 0.500 0.500
Mo 0.500 0.500 0.500
Be 0.500 0.000 0.500

=====

#b
Density functional theory data (GGA-PBE) for crystalline Be4Mo at its relaxed geometry.

abc: 4.595 4.595 4.595
angles: 109.47 109.47 109.47
Site moments in Bohr magnetons follow the coordinates.
Fractional positions:
Be 0.000 0.000 0.500  0.03
Be 0.500 0.000 0.000  0.03
Be 0.000 0.500 0.000  0.03
Mo 0.000 0.000 0.000  0.70
Be 0.500 0.500 0.500  0.03

=====

#c
Density functional theory data (GGA-PBE) for crystalline Be4Mo at its relaxed geometry.

abc: 4.778 4.778 4.778
angles: 139.12 139.12 59.19
Fractional positions:
Be 0.250 0.750 0.500
Be 0.386 0.386 0.000
Be 0.614 0.614 0.000
Be 0.750 0.250 0.500
Mo 0.000 0.000 0.000

=====

The most stable of them is #c.

=====

#a
Density functional theory data (GGA-PBE) for crystalline BeMo at its relaxed geometry.

abc: 2.657 2.657 3.516
angles: 90.00 90.00 97.44
Fractional positions:
Be 0.000 0.000 0.000
Mo 0.500 0.500 0.500

=====

#b
Density functional theory data (GGA-PBE) for crystalline BeMo at its relaxed geometry.

abc: 3.750 3.750 3.506
angles: 90.00 90.00 90.00
Fractional positions:
Mo 0.250 0.250 0.500
Be 0.750 0.250 0.000
Be 0.250 0.750 0.000
Mo 0.750 0.750 0.500

=====

The most stable of them is #a.

=====

#a
Density functional theory data (GGA-PBE) for crystalline Be2Mo at its relaxed geometry.

abc: 3.408 3.408 3.100
angles: 90.00 90.00 120.00
Fractional positions:
Be 0.333 0.667 0.500
Mo 0.000 0.000 0.000
Be 0.667 0.333 0.500

=====

#b
Density functional theory data (GGA-PBE) for crystalline Be2Mo at its relaxed geometry.

abc: 4.834 4.834 3.533
angles: 90.00 90.00 128.65
Fractional positions:
Be 0.457 0.854 0.750
Be 0.543 0.146 0.250
Mo 0.230 0.230 0.750
Mo 0.770 0.770 0.250
Be 0.854 0.457 0.750
Be 0.146 0.543 0.250

=====

#c
Density functional theory data (GGA-PBE) for crystalline Be2Mo at its relaxed geometry.

abc: 2.642 2.642 6.022
angles: 90.00 90.00 120.00
Fractional positions:
Mo 0.000 0.000 0.000
Be 0.333 0.667 0.349
Be 0.667 0.333 0.651

=====

#d
Density functional theory data (GGA-PBE) for crystalline Be2Mo at its relaxed geometry.

abc: 4.910 4.910 4.910
angles: 148.39 148.39 45.30
Fractional positions:
Mo 0.000 0.000 0.000
Be 0.310 0.310 0.000
Be 0.690 0.690 0.000

=====

The most stable of them is #a.

=====

#a
Density functional theory data (GGA-PBE) for crystalline Be2MoN2 at its relaxed geometry.

abc: 5.982 5.982 2.755
angles: 90.00 90.00 90.00
Fractional positions:
N 0.283 0.783 0.500
N 0.783 0.717 0.500
Mo 0.500 0.500 0.000
Be 0.633 0.133 0.000
Be 0.867 0.633 0.000
Mo 0.000 0.000 0.000
N 0.217 0.283 0.500
Be 0.133 0.367 0.000
Be 0.367 0.867 0.000
N 0.717 0.217 0.500

=====

#b
Density functional theory data (GGA-PBE) for crystalline Be2MoN2 at its relaxed geometry.

abc: 3.495 3.495 4.165
angles: 65.19 65.19 90.00
Fractional positions:
Be 0.332 0.332 0.337
Mo 0.000 0.000 0.000
N 0.250 0.750 0.500
Be 0.668 0.668 0.663
N 0.750 0.250 0.500

=====

The most stable of them is #b.

=====

#a
Density functional theory data (GGA-PBE) for crystalline Be3MoN at its relaxed geometry.

abc: 3.612 3.612 3.612
angles: 90.00 90.00 90.00
Site moments in Bohr magnetons follow the coordinates.
Fractional positions:
Be 0.000 0.500 0.000  0.00
Be 0.000 0.000 0.500  0.01
Mo 0.500 0.500 0.500  1.12
N 0.000 0.000 0.000  0.20
Be 0.500 0.000 0.000  0.00

=====

#b
Density functional theory data (GGA-PBE) for crystalline Be3MoN at its relaxed geometry.

abc: 4.319 4.319 4.319
angles: 90.00 90.00 90.00
Site moments in Bohr magnetons follow the coordinates.
Fractional positions:
Mo 0.000 0.000 0.000  0.49
Be 0.000 0.500 0.000  -0.02
N 0.500 0.500 0.500  1.09
Be 0.000 0.000 0.500  -0.02
Be 0.500 0.000 0.000  -0.07

=====

The most stable of them is #a.

=====

#a
Density functional theory data (GGA-PBE) for crystalline BeMoS2N at its relaxed geometry.

abc: 4.479 4.479 3.117
angles: 90.00 90.00 90.00
Fractional positions:
Be 0.000 0.000 0.000
S 0.500 0.000 0.000
S 0.000 0.500 0.000
Mo 0.500 0.500 0.500
N 0.000 0.000 0.500

=====

#b
Density functional theory data (GGA-PBE) for crystalline BeMoS2N at its relaxed geometry.

abc: 4.799 4.799 3.760
angles: 90.00 90.00 90.00
Fractional positions:
N 0.000 0.000 0.500
Mo 0.000 0.000 0.000
S 0.500 0.000 0.000
S 0.000 0.500 0.000
Be 0.500 0.500 0.500

=====

The most stable of them is #b.

=====

#a
Density functional theory data (GGA-PBE) for crystalline BeMoSeN2 at its relaxed geometry.

abc: 3.826 3.826 5.425
angles: 90.00 90.00 90.00
Fractional positions:
N 0.000 0.500 0.000
Se 0.000 0.000 0.500
Be 0.500 0.500 0.500
Mo 0.000 0.000 0.000
N 0.500 0.000 0.000

=====

#b
Density functional theory data (GGA-PBE) for crystalline BeMoSeN2 at its relaxed geometry.

abc: 3.616 3.616 4.586
angles: 90.00 90.00 90.00
Site moments in Bohr magnetons follow the coordinates.
Fractional positions:
N 0.500 0.000 0.000  -0.50
N 0.000 0.500 0.000  -0.50
Se 0.000 0.000 0.500  -0.12
Be 0.000 0.000 0.000  0.01
Mo 0.500 0.500 0.500  1.93

=====

The most stable of them is #a.

=====

#a
Density functional theory data (GGA-PBE) for crystalline BeMoSe2N at its relaxed geometry.

abc: 4.844 4.844 3.116
angles: 90.00 90.00 90.00
Site moments in Bohr magnetons follow the coordinates.
Fractional positions:
N 0.000 0.000 0.500  -0.03
Se 0.500 0.000 0.000  -0.09
Se 0.000 0.500 0.000  -0.09
Mo 0.500 0.500 0.500  1.69
Be 0.000 0.000 0.000  0.01

=====

#b
Density functional theory data (GGA-PBE) for crystalline BeMoSe2N at its relaxed geometry.

abc: 5.050 5.050 3.766
angles: 90.00 90.00 90.00
Fractional positions:
Be 0.500 0.500 0.500
N 0.000 0.000 0.500
Mo 0.000 0.000 0.000
Se 0.000 0.500 0.000
Se 0.500 0.000 0.000

=====

The most stable of them is #b.

=====

#a
Density functional theory data (GGA-PBE) for crystalline BeTeMoN2 at its relaxed geometry.

abc: 3.859 3.859 5.775
angles: 90.00 90.00 90.00
Fractional positions:
Be 0.500 0.500 0.500
N 0.000 0.500 0.000
Te 0.000 0.000 0.500
Mo 0.000 0.000 0.000
N 0.500 0.000 0.000

=====

#b
Density functional theory data (GGA-PBE) for crystalline BeTeMoN2 at its relaxed geometry.

abc: 3.717 3.717 4.907
angles: 90.00 90.00 90.00
Fractional positions:
N 0.000 0.500 0.000
Te 0.000 0.000 0.500
Be 0.000 0.000 0.000
Mo 0.500 0.500 0.500
N 0.500 0.000 0.000

=====

The most stable of them is #a.

=====

#a
Density functional theory data (GGA-PBE) for crystalline BeTe2MoN at its relaxed geometry.

abc: 5.317 5.317 3.100
angles: 90.00 90.00 90.00
Site moments in Bohr magnetons follow the coordinates.
Fractional positions:
Be 0.000 0.000 0.000  0.01
Te 0.000 0.500 0.000  -0.04
Te 0.500 0.000 0.000  -0.04
Mo 0.500 0.500 0.500  2.00
N 0.000 0.000 0.500  -0.02

=====

#b
Density functional theory data (GGA-PBE) for crystalline BeTe2MoN at its relaxed geometry.

abc: 5.404 5.404 3.784
angles: 90.00 90.00 90.00
Fractional positions:
Te 0.000 0.500 0.000
N 0.000 0.000 0.500
Te 0.500 0.000 0.000
Be 0.500 0.500 0.500
Mo 0.000 0.000 0.000

=====

The most stable of them is #b.